This record from the Alexandria database describes RbAgWO2 after structural relaxation. The functional is PBE with a Hubbard U.

The uncorrected energy is -16.49 eV for the cell shown. The value obtained for the density of states at the Fermi level is 0.896 states/eV/atom.

Cell: 4.4975 5.2637 4.4975 Å, 90.00 90.00 90.00°
Site moments in Bohr magnetons follow the coordinates.
Sites, in units of the cell vectors:
O 0.5000 0.0000 0.0000  -0.01
O 0.0000 0.0000 0.5000  -0.05
Ag 0.0000 0.0000 0.0000  -0.01
Rb 0.5000 0.5000 0.5000  0.09
W 0.0000 0.5000 0.0000  3.95